Computed, not measured: Na2HfSbO6 after structural relaxation at the PBE level of DFT.

Properties
Uncorrected formation energy (eV per atom): -2.05
Size of the total moment (Bohr magnetons per cell): 1.0
Symmetry: R3

Lattice parameters (Å, degrees): 5.678 5.678 5.678 59.52 59.52 59.52
Atoms (fractional coordinates):
Na 0.000 0.000 0.000
Na 0.499 0.499 0.499
Hf 0.749 0.749 0.749
Sb 0.249 0.249 0.249
O 0.004 0.434 0.554
O 0.064 0.944 0.493
O 0.434 0.554 0.004
O 0.493 0.064 0.944
O 0.554 0.004 0.434
O 0.944 0.493 0.064